This record from the Alexandria database describes crystalline PuPaHN2 at its relaxed geometry. The functional is GGA-PBE.

Lattice parameters (Å, degrees): 3.4502 3.4502 11.1167 90.00 90.00 90.00
With the nearest neighbours (Å) after each atom.
Positions (direct):
Pa (0.0000, 0.5000, 0.8838)  1 N 2.15
Pa (0.5000, 0.0000, 0.1162)  1 N 2.15
Pu (0.0000, 0.5000, 0.3617)  4 H 2.31, 4 N 2.51
Pu (0.5000, 0.0000, 0.6383)  4 H 2.31, 4 N 2.51
N (0.0000, 0.5000, 0.6902)  1 Pa 2.15
N (0.5000, 0.0000, 0.3098)  1 Pa 2.15
N (0.5000, 0.0000, 0.8797)  5 Pa 2.44-2.63, 1 Pu 2.68
N (0.0000, 0.5000, 0.1203)  5 Pa 2.44-2.63, 1 Pu 2.68
H (0.0000, 0.0000, 0.5000)  4 Pu 2.31, 4 H 2.44
H (0.5000, 0.5000, 0.5000)  4 Pu 2.31, 4 H 2.44

- E_tot: -0.7310 Ry/atom
- Density of states at the Fermi level: 17.22 states/eV/cell
- Magnetic moment: 9.6 Bohr magnetons per cell

This record from the Alexandria database describes crystalline PaHSN at its relaxed geometry. The functional is GGA-PBE.

Lattice parameters (Å, degrees): 3.9202 3.9202 10.0077 78.70 78.70 60.00
With the nearest neighbours (Å) after each atom.
Positions (direct):
H (0.1562, 0.1562, 0.5313)  1 S 1.36
H (0.8438, 0.8438, 0.4687)  1 S 1.36
N (0.6953, 0.6953, 0.9142)  4 Pa 2.23-2.33
N (0.3047, 0.3047, 0.0858)  4 Pa 2.23-2.33
Pa (0.3811, 0.3811, 0.8567)  4 N 2.23-2.33
Pa (0.6189, 0.6189, 0.1433)  4 N 2.23-2.33
S (0.8904, 0.8904, 0.3287)  1 H 1.36
S (0.1096, 0.1096, 0.6713)  1 H 1.36

- E_tot: -0.5482 Ry/atom
- Density of states at the Fermi level: 5.34 states/eV/cell
- Magnetic moment: 0.0 Bohr magnetons per cell

This record from the Alexandria database describes crystalline Pa2HSe2N at its relaxed geometry. The functional is GGA-PBE.

Lattice parameters (Å, degrees): 5.4960 5.5717 7.9677 110.47 110.18 90.00
With the nearest neighbours (Å) after each atom.
Positions (direct):
Pa (0.6343, 0.4052, 0.8103)  2 N 2.29, 2 H 2.43
Pa (0.8240, 0.0948, 0.1897)  2 N 2.29, 2 H 2.43
Pa (0.3657, 0.5948, 0.1897)  2 N 2.29, 2 H 2.43
Pa (0.1760, 0.9052, 0.8103)  2 N 2.29, 2 H 2.43
N (0.5000, 0.2500, 0.0000)  4 Pa 2.29
N (0.5000, 0.7500, 0.0000)  4 Pa 2.29
Se (0.0550, 0.3228, 0.6456)  5 Pa 2.96-3.16, 2 H 3.10, 2 N 3.19
Se (0.9450, 0.6772, 0.3544)  5 Pa 2.96-3.16, 2 H 3.10, 2 N 3.19
Se (0.4094, 0.1772, 0.3544)  5 Pa 2.96-3.16, 2 H 3.10, 2 N 3.19
Se (0.5906, 0.8228, 0.6456)  5 Pa 2.96-3.16, 2 H 3.10, 2 N 3.19
H (0.0000, 0.2500, 0.0000)  4 Pa 2.43
H (0.0000, 0.7500, 0.0000)  4 Pa 2.43

- E_tot: -0.5620 Ry/atom
- Density of states at the Fermi level: 13.15 states/eV/cell
- Magnetic moment: 3.3 Bohr magnetons per cell

Q: The lowest E_tot belongs to which entry?
A: PuPaHN2

What did the second record say?
This record from the Alexandria database describes crystalline PaHSN at its relaxed geometry. The functional is GGA-PBE.

Lattice parameters (Å, degrees): 3.9202 3.9202 10.0077 78.70 78.70 60.00
With the nearest neighbours (Å) after each atom.
Positions (direct):
H (0.1562, 0.1562, 0.5313)  1 S 1.36
H (0.8438, 0.8438, 0.4687)  1 S 1.36
N (0.6953, 0.6953, 0.9142)  4 Pa 2.23-2.33
N (0.3047, 0.3047, 0.0858)  4 Pa 2.23-2.33
Pa (0.3811, 0.3811, 0.8567)  4 N 2.23-2.33
Pa (0.6189, 0.6189, 0.1433)  4 N 2.23-2.33
S (0.8904, 0.8904, 0.3287)  1 H 1.36
S (0.1096, 0.1096, 0.6713)  1 H 1.36

- E_tot: -0.5482 Ry/atom
- Density of states at the Fermi level: 5.34 states/eV/cell
- Magnetic moment: 0.0 Bohr magnetons per cell

Q: Look up the density of states at the Fermi level of the third one.
A: 13.15 states/eV/cell